Entry from OQMD via LeMat-Bulk: crystalline YFeHgPb at its relaxed geometry (PBE).

abc: 4.924 4.924 4.924
angles: 60.00 60.00 60.00
Positions (direct):
Hg 0.500 0.500 0.500
Pb 0.000 0.000 0.000
Fe 0.750 0.750 0.750
Y 0.250 0.250 0.250

Relative energy among the computed polymorphs ... 0.000 eV per atom
Mass density ... 10.9 g cm⁻³
Space-group type ... No. 216
Energy ... -0.169 hartree per atom

Entry from OQMD via LeMat-Bulk: crystalline RbReSi at its relaxed geometry (PBE).

abc: 4.674 4.674 4.674
angles: 60.00 60.00 60.00
Positions (direct):
Re 0.750 0.750 0.750
Rb 0.250 0.250 0.250
Si 0.000 0.000 0.000

Relative energy among the computed polymorphs ... 0.187 eV per atom
Mass density ... 6.9 g cm⁻³
Space-group type ... No. 216
Energy ... -0.160 hartree per atom

Entry from OQMD via LeMat-Bulk: crystalline ThB4W at its relaxed geometry (PBE).

abc: 4.959 4.959 4.959
angles: 142.26 111.87 80.59
Positions (direct):
Th 0.500 0.500 0.000
B 0.080 0.743 0.338
W 0.000 0.000 0.000
B 0.920 0.257 0.662
B 0.405 0.743 0.662
B 0.595 0.257 0.338

Relative energy among the computed polymorphs ... 0.437 eV per atom
Mass density ... 11.3 g cm⁻³
Space-group type ... No. 71
Energy ... -0.292 hartree per atom

Entry from OQMD via LeMat-Bulk: crystalline Rb2WSe3 at its relaxed geometry (PBE).

abc: 7.645 7.645 7.023
angles: 90.00 90.00 74.37
Positions (direct):
W 0.899 0.101 0.756
Se 0.357 0.643 0.258
Se 0.128 0.129 0.506
Rb 0.509 0.166 0.256
Rb 0.834 0.491 0.256
Se 0.643 0.357 0.758
Rb 0.166 0.509 0.756
Se 0.129 0.128 0.006
Se 0.872 0.871 0.006
W 0.101 0.899 0.256
Rb 0.491 0.834 0.756
Se 0.871 0.872 0.506

Relative energy among the computed polymorphs ... 0.070 eV per atom
Mass density ... 5.0 g cm⁻³
Space-group type ... No. 36
Energy ... -0.180 hartree per atom

Entry from OQMD via LeMat-Bulk: crystalline ReHg2Ge at its relaxed geometry (PBE).

abc: 4.736 4.736 4.736
angles: 60.00 60.00 60.00
Positions (direct):
Ge 0.500 0.500 0.500
Hg 0.000 0.000 0.000
Hg 0.750 0.750 0.750
Re 0.250 0.250 0.250

Mass density ... 14.6 g cm⁻³
Space-group type ... No. 216
Energy ... -0.126 hartree per atom

Entry from OQMD via LeMat-Bulk: crystalline Dy2Y2Er3Ni2Te2 at its relaxed geometry (PBE).

abc: 9.357 9.357 9.357
angles: 156.26 66.86 118.53
Positions (direct):
Ni 0.667 0.406 0.261
Er 0.977 0.477 0.500
Ni 0.145 0.406 0.739
Er 0.262 0.895 0.368
Dy 0.912 0.097 0.815
Te 0.640 0.140 0.500
Y 0.892 0.746 0.146
Er 0.527 0.895 0.632
Te 0.242 0.242 0.000
Y 0.600 0.746 0.854
Dy 0.281 0.097 0.185

Relative energy among the computed polymorphs ... 0.004 eV per atom
Mass density ... 8.0 g cm⁻³
Space-group type ... No. 44
Energy ... -0.203 hartree per atom

Entry from OQMD via LeMat-Bulk: crystalline TmHfSi4 at its relaxed geometry (PBE).

abc: 3.686 7.920 7.920
angles: 27.34 90.00 90.00
Positions (direct):
Si 0.500 0.744 0.744
Hf 0.000 0.605 0.605
Si 0.500 0.057 0.057
Si 0.000 0.959 0.959
Si 0.000 0.242 0.242
Tm 0.500 0.393 0.393

Mass density ... 7.2 g cm⁻³
Space-group type ... No. 38
Energy ... -0.241 hartree per atom

Entry from OQMD via LeMat-Bulk: crystalline ZnFePdW at its relaxed geometry (PBE).

abc: 4.309 4.309 4.309
angles: 60.00 60.00 60.00
Positions (direct):
Zn 0.000 0.000 0.000
W 0.500 0.500 0.500
Pd 0.250 0.250 0.250
Fe 0.750 0.750 0.750

Relative energy among the computed polymorphs ... 0.000 eV per atom
Mass density ... 12.1 g cm⁻³
Energy relative to the elements ... 0.63 eV/f.u.
Space-group type ... No. 216
Energy ... -0.249 hartree per atom

Entry from OQMD via LeMat-Bulk: crystalline Dy2Y3Ho2Ni2Te2 at its relaxed geometry (PBE).

abc: 9.367 9.367 9.367
angles: 156.23 66.70 118.71
Positions (direct):
Ho 0.782 0.097 0.685
Ho 0.412 0.097 0.315
Ni 0.645 0.407 0.238
Y 0.478 0.478 0.000
Y 0.099 0.745 0.354
Dy 0.027 0.894 0.132
Ni 0.168 0.407 0.762
Te 0.141 0.141 0.000
Y 0.392 0.745 0.646
Dy 0.762 0.894 0.868
Te 0.741 0.241 0.500

Mass density ... 7.5 g cm⁻³
Space-group type ... No. 44
Energy ... -0.210 hartree per atom

Entry from OQMD via LeMat-Bulk: crystalline Li4InHgPd2 at its relaxed geometry (PBE).

abc: 4.514 4.514 6.380
angles: 90.00 90.00 90.00
Positions (direct):
Li 0.000 0.000 0.000
Hg 0.500 0.500 0.000
Pd 0.000 0.500 0.738
Li 0.500 0.500 0.500
Li 0.000 0.500 0.242
Li 0.500 0.000 0.758
Pd 0.500 0.000 0.262
In 0.000 0.000 0.500

Mass density ... 7.1 g cm⁻³
Space-group type ... No. 115
Energy ... -0.113 hartree per atom

Entry from OQMD via LeMat-Bulk: crystalline HoZn8Co4 at its relaxed geometry (PBE).

abc: 6.561 6.561 6.561
angles: 98.26 98.26 135.46
Last column: magnetic moment on the atom in μB.
Positions (direct):
Zn 0.661 0.000 0.661  -0.02
Zn 0.500 0.275 0.775  -0.02
Co 0.000 0.500 0.000  1.07
Ho 0.000 0.000 0.000  -0.06
Zn 0.275 0.500 0.775  -0.02
Zn 0.339 0.000 0.339  -0.02
Co 0.500 0.000 0.000  1.05
Co 0.000 0.000 0.500  1.06
Zn 0.000 0.339 0.339  -0.02
Zn 0.500 0.725 0.225  -0.02
Co 0.500 0.500 0.500  1.06
Zn 0.725 0.500 0.225  -0.02
Zn 0.000 0.661 0.661  -0.02

Mass density ... 8.4 g cm⁻³
Energy relative to the elements ... -2.22 eV/f.u.
Space-group type ... No. 139
Energy ... -0.128 hartree per atom

Entry from OQMD via LeMat-Bulk: crystalline Y3Mg3CuHgPt at its relaxed geometry (PBE).

abc: 7.706 7.706 3.942
angles: 90.00 90.00 120.00
Positions (direct):
Cu 0.000 0.000 0.500
Hg 0.333 0.667 0.000
Mg 0.758 0.759 0.000
Y 0.976 0.578 0.500
Pt 0.667 0.333 0.000
Mg 0.001 0.242 0.000
Y 0.422 0.398 0.500
Mg 0.241 0.999 0.000
Y 0.602 0.024 0.500

Mass density ... 6.5 g cm⁻³
Space-group type ... No. 174
Energy ... -0.159 hartree per atom

Copy entry 12 word for word.
Entry from OQMD via LeMat-Bulk: crystalline Y3Mg3CuHgPt at its relaxed geometry (PBE).

abc: 7.706 7.706 3.942
angles: 90.00 90.00 120.00
Positions (direct):
Cu 0.000 0.000 0.500
Hg 0.333 0.667 0.000
Mg 0.758 0.759 0.000
Y 0.976 0.578 0.500
Pt 0.667 0.333 0.000
Mg 0.001 0.242 0.000
Y 0.422 0.398 0.500
Mg 0.241 0.999 0.000
Y 0.602 0.024 0.500

Mass density ... 6.5 g cm⁻³
Space-group type ... No. 174
Energy ... -0.159 hartree per atom